Computed, not measured: a relaxed PmScAlCd crystal at the GGA-PBE level of DFT.

Cell lengths 3.5552, 3.5552, 7.4660 Å; angles 90.00, 90.00, 90.00 degrees
Space group P4mm (No. 99)
Asymmetric unit:
1 Pm 0.0000 0.0000 0.0000 x1
2 Sc 0.0000 0.0000 0.5244 x1
3 Al 0.5000 0.5000 0.7359 x1
4 Cd 0.5000 0.5000 0.2977 x1

Results
N(E_F) = 2.64 states/eV/cell
VASP energy = -4.30 eV per atom
Offset from the most stable computed form = 0.0000 eV per atom
ρ = 5.80 g cm⁻³